# MgTa3Bi

A crystal of MgTa3Bi relaxed with PBEsol (SCAN, Alexandria).

The space group is Pm-3m (No. 221) and the conventional cell measures 5.108, 5.108 and 5.108 Å, with angles of 90.00, 90.00 and 90.00 degrees. The asymmetric unit holds Mg at (0.000, 0.000, 0.000), Ta at (0.000, 0.500, 0.500) and Bi at (0.500, 0.500, 0.500).

The value obtained for the energy of formation is 2.201 eV/atom. The calculation puts the total energy at -54.460 eV per atom. For the density of states at the Fermi level, the calculation gives 6.535 states/eV/cell.



# MgTc3Bi

A crystal of MgTc3Bi relaxed with PBEsol (SCAN, Alexandria).

The space group is Pm-3m (No. 221) and the conventional cell measures 4.943, 4.943 and 4.943 Å, with angles of 90.00, 90.00 and 90.00 degrees. The asymmetric unit holds Mg at (0.000, 0.000, 0.000), Tc at (0.000, 0.500, 0.500) and Bi at (0.500, 0.500, 0.500).

The value obtained for the energy of formation is 2.088 eV/atom. The calculation puts the total energy at -35.659 eV per atom. For the density of states at the Fermi level, the calculation gives 4.803 states/eV/cell.



# MgTl2Bi2

A crystal of MgTl2Bi2 relaxed with PBEsol (SCAN, Alexandria).

The space group is P4/mbm (No. 127) and the conventional cell measures 7.702, 7.702 and 5.250 Å, with angles of 90.00, 90.00 and 90.00 degrees. The asymmetric unit holds Mg at (0.000, 0.000, 0.000), Tl at (0.167, 0.333, 0.500) and Bi at (0.140, 0.640, 0.000).

The value obtained for the energy of formation is -0.011 eV/atom. The calculation puts the total energy at -61.381 eV per atom. For the density of states at the Fermi level, the calculation gives 2.337 states/eV/cell.



# MgBiW3

A crystal of MgBiW3 relaxed with PBEsol (SCAN, Alexandria).

The space group is Pm-3m (No. 221) and the conventional cell measures 4.984, 4.984 and 4.984 Å, with angles of 90.00, 90.00 and 90.00 degrees. The asymmetric unit holds Mg at (0.000, 0.000, 0.000), Bi at (0.500, 0.500, 0.500) and W at (0.000, 0.500, 0.500).

The value obtained for the energy of formation is 3.061 eV/atom. The calculation puts the total energy at -55.462 eV per atom. For the density of states at the Fermi level, the calculation gives 4.676 states/eV/cell.



# Mg2Bi2W

A crystal of Mg2Bi2W relaxed with PBEsol (SCAN, Alexandria).

The space group is I4/mmm (No. 139) and the conventional cell measures 4.388, 4.388 and 13.978 Å, with angles of 90.00, 90.00 and 90.00 degrees. The asymmetric unit holds Mg at (0.000, 0.000, 0.094), Bi at (0.000, 0.500, 0.250) and W at (0.000, 0.000, 0.500).

The value obtained for the energy of formation is 1.178 eV/atom. The calculation puts the total energy at -46.180 eV per atom. For the density of states at the Fermi level, the calculation gives 4.639 states/eV/cell.



# YMg2Bi

A crystal of YMg2Bi relaxed with PBEsol (SCAN, Alexandria).

The space group is I-42d (No. 122) and the conventional cell measures 8.649, 8.649 and 6.065 Å, with angles of 90.00, 90.00 and 90.00 degrees. The asymmetric unit holds Y at (0.000, 0.000, 0.000), Mg at (0.215, 0.250, 0.625) and Bi at (0.000, 0.000, 0.500).

The value obtained for the energy of formation is -0.149 eV/atom. The calculation puts the total energy at -29.241 eV per atom. For the density of states at the Fermi level, the calculation gives 4.707 states/eV/cell.